TlVPO4 after structural relaxation, computed with PBE with a Hubbard U.

Cell: 5.5128 5.5890 7.5479 Å, 90.00 107.56 90.00°
Closest atoms and distances in Å follow each position.
Positions (direct):
O  0.9363  0.0276  0.6729  1 P 1.56
O  0.9363  0.4724  0.6729  1 P 1.56
O  0.4343  0.7500  0.5554  1 P 1.56
O  0.5657  0.2500  0.4446  1 P 1.56
O  0.0637  0.9724  0.3271  1 P 1.56
O  0.0637  0.5276  0.3271  1 P 1.56
O  0.5895  0.2500  0.7793  1 P 1.56
O  0.4105  0.7500  0.2207  1 P 1.56
Tl  0.6937  0.7500  0.9185  3 O 2.68-2.98
Tl  0.3063  0.2500  0.0815  3 O 2.68-2.98
P  0.2435  0.7500  0.3548  4 O 1.56
P  0.7565  0.2500  0.6452  4 O 1.56
V  0.2265  0.2500  0.5303  4 O 2.15-2.29
V  0.7735  0.7500  0.4697  4 O 2.15-2.29

Final energy in eV per atom: -6.78
SG: P2_1/m, No. 11
Volume in Å³/cell: 221.7